# 1
VASP calculation (PBE-GGA) on a geometry-optimized DyHoPb2 structure.

Properties
Crystal system = orthorhombic
Symmetry = Amm2 (38)

POSCAR file:
```
DyHoPb2
1.0
4.431 0.000 0.000
0.000 2.242 5.826
0.000 -2.242 5.826
Dy Ho Pb
1 1 2
Direct
0.000 0.630 0.630
0.500 0.370 0.370
0.500 0.101 0.101
0.000 0.899 0.899
```

# 2
VASP calculation (PBE-GGA) on a geometry-optimized Dy2HoPd2PtPb3 structure.

Properties
Crystal system = orthorhombic
Symmetry = Amm2 (38)

POSCAR file:
```
Dy2HoPd2PtPb3
1.0
-2.571 -1.570 2.524
-0.159 -6.537 -4.229
5.180 0.779 5.762
Dy Ho Pb Pd Pt
2 1 3 2 1
Direct
0.000 0.397 0.000
0.000 0.000 0.397
0.000 0.604 0.604
0.500 0.732 0.000
0.500 0.267 0.267
0.500 0.000 0.732
0.500 0.667 0.334
0.500 0.334 0.667
0.000 0.999 0.999
```

# 3
VASP calculation (PBE-GGA) on a geometry-optimized Dy2HoPdPt2Pb3 structure.

Properties
Crystal system = orthorhombic
Symmetry = Amm2 (38)

POSCAR file:
```
Dy2HoPdPt2Pb3
1.0
-0.830 0.262 -3.840
-7.588 0.029 1.643
3.908 6.698 -0.388
Dy Ho Pb Pd Pt
2 1 3 1 2
Direct
0.000 0.407 0.000
0.000 0.000 0.407
0.000 0.593 0.593
0.500 0.738 0.000
0.500 0.262 0.262
0.500 0.000 0.738
0.000 0.999 0.999
0.500 0.667 0.334
0.500 0.334 0.667
```

| no. | total DFT energy (no corrections) (eV/f.u.) |
| --- | --- |
| 1 | -18.46 |
| 2 | -48.02 |
| 3 | -49.54 |